(1)
{
  "formula": "NaHgIrCl6",
  "functional": "PBE",
  "state": "relaxed",
  "e_form_raw_mev_per_atom": -745,
  "space_group": "No. 163",
  "cell": [[6.659, 0.000, 0.000], [-3.330, 5.767, 0.000], [0.000, 0.000, 11.356]],
  "species": ["Na", "Na", "Hg", "Hg", "Ir", "Ir", "Cl", "Cl", "Cl", "Cl", "Cl", "Cl", "Cl", "Cl", "Cl", "Cl", "Cl", "Cl"],
  "frac_coords": [[0.333, 0.667, 0.250], [0.667, 0.333, 0.750], [0.000, 0.000, 0.000], [0.000, 0.000, 0.500], [0.333, 0.667, 0.750], [0.667, 0.333, 0.250], [0.043, 0.381, 0.628], [0.043, 0.662, 0.872], [0.338, 0.381, 0.872], [0.338, 0.957, 0.628], [0.381, 0.043, 0.128], [0.381, 0.338, 0.372], [0.619, 0.662, 0.628], [0.619, 0.957, 0.872], [0.662, 0.043, 0.372], [0.662, 0.619, 0.128], [0.957, 0.338, 0.128], [0.957, 0.619, 0.372]]
}

---

(2)
{
  "formula": "NiHgIr2Cl",
  "functional": "PBE",
  "state": "relaxed",
  "e_form_raw_mev_per_atom": 1344,
  "space_group": "No. 123",
  "cell": [[4.572, 0.000, 0.000], [0.000, 4.572, 0.000], [0.000, 0.000, 4.968]],
  "species": ["Ni", "Hg", "Ir", "Ir", "Cl"],
  "frac_coords": [[0.000, 0.000, 0.000], [0.000, 0.000, 0.500], [0.000, 0.500, 0.000], [0.500, 0.000, 0.000], [0.500, 0.500, 0.500]]
}

---

(3)
{
  "formula": "HgIrPt2Cl",
  "functional": "PBE",
  "state": "relaxed",
  "e_form_raw_mev_per_atom": 1140,
  "space_group": "No. 123",
  "cell": [[4.594, 0.000, 0.000], [0.000, 4.594, 0.000], [0.000, 0.000, 4.492]],
  "species": ["Hg", "Ir", "Pt", "Pt", "Cl"],
  "frac_coords": [[0.000, 0.000, 0.000], [0.500, 0.500, 0.000], [0.000, 0.500, 0.500], [0.500, 0.000, 0.500], [0.500, 0.500, 0.500]]
}

---

(4)
{
  "formula": "Rb2HgIrCl6",
  "functional": "PBE",
  "state": "relaxed",
  "e_form_raw_mev_per_atom": -1022,
  "space_group": "No. 59",
  "cell": [[7.451, 0.000, 0.000], [0.000, 10.074, 0.000], [0.000, 0.000, 7.926]],
  "species": ["Rb", "Rb", "Rb", "Rb", "Hg", "Hg", "Ir", "Ir", "Cl", "Cl", "Cl", "Cl", "Cl", "Cl", "Cl", "Cl", "Cl", "Cl", "Cl", "Cl"],
  "frac_coords": [[0.250, 0.007, 0.227], [0.250, 0.493, 0.227], [0.750, 0.507, 0.773], [0.750, 0.993, 0.773], [0.250, 0.250, 0.712], [0.750, 0.750, 0.288], [0.250, 0.750, 0.768], [0.750, 0.250, 0.232], [0.021, 0.750, 0.981], [0.026, 0.750, 0.555], [0.250, 0.517, 0.797], [0.250, 0.983, 0.797], [0.474, 0.750, 0.555], [0.479, 0.750, 0.981], [0.521, 0.250, 0.019], [0.526, 0.250, 0.445], [0.750, 0.017, 0.203], [0.750, 0.483, 0.203], [0.974, 0.250, 0.445], [0.979, 0.250, 0.019]]
}

---

(5)
{
  "formula": "RbHgIrCl2",
  "functional": "PBE",
  "state": "relaxed",
  "e_form_raw_mev_per_atom": 853,
  "space_group": "No. 123",
  "cell": [[6.151, 0.000, 0.000], [0.000, 6.151, 0.000], [0.000, 0.000, 6.605]],
  "species": ["Rb", "Hg", "Ir", "Cl", "Cl"],
  "frac_coords": [[0.000, 0.000, 0.000], [0.000, 0.000, 0.500], [0.500, 0.500, 0.500], [0.000, 0.500, 0.000], [0.500, 0.000, 0.000]]
}

---

(6)
{
  "formula": "HgIrS2Cl",
  "functional": "PBE",
  "state": "relaxed",
  "e_form_raw_mev_per_atom": 273,
  "e_above_lowest_polymorph_ev_per_atom": 0.000,
  "space_group": "No. 123",
  "cell": [[4.643, 0.000, 0.000], [0.000, 4.643, 0.000], [0.000, 0.000, 5.033]],
  "species": ["Hg", "Ir", "S", "S", "Cl"],
  "frac_coords": [[0.000, 0.000, 0.000], [0.500, 0.500, 0.500], [0.000, 0.500, 0.500], [0.500, 0.000, 0.500], [0.500, 0.500, 0.000]]
}